<A>
NdDyTmTl (PBE, relaxed); total magnetic moment = 1.13 μB/f.u.
1.0
5.5074 0.0000 0.0000
2.7537 4.7695 0.0000
2.7537 1.5898 4.4968
Tl Tm Nd Dy
1 1 1 1
Direct
0.0000 0.0000 0.0000 Tl
0.5000 0.5000 0.5000 Tm
0.7500 0.7500 0.7500 Nd
0.2500 0.2500 0.2500 Dy

<B>
NdDyTmTl (PBE, relaxed); total magnetic moment = 0.00 μB/f.u.
1.0
4.9370 0.0000 0.0000
0.0000 4.8265 0.0000
0.0000 0.0000 4.8816
Nd Dy Tm Tl
1 1 1 1
Direct
0.5000 0.0000 0.5000 Nd
0.5000 0.5000 0.0000 Dy
0.0000 0.5000 0.5000 Tm
0.0000 0.0000 0.0000 Tl

Tell me which of them is the least stable. Sure, it is <A>.

<A>
NdDyYTl (PBE, relaxed); total magnetic moment = 0.66 μB/f.u.
1.0
4.8997 0.0000 0.0000
0.0000 4.8564 0.0000
0.0000 0.0000 4.9718
Nd Dy Y Tl
1 1 1 1
Direct
0.0000 0.5000 0.5000 Nd
0.5000 0.0000 0.5000 Dy
0.0000 0.0000 0.0000 Y
0.5000 0.5000 0.0000 Tl

<B>
NdDyYTl (PBE, relaxed); total magnetic moment = 1.38 μB/f.u.
1.0
5.5348 0.0000 0.0000
2.7674 4.7933 0.0000
2.7674 1.5978 4.5191
Y Tl Nd Dy
1 1 1 1
Direct
0.7500 0.7500 0.7500 Y
0.0000 0.0000 0.0000 Tl
0.2500 0.2500 0.2500 Nd
0.5000 0.5000 0.5000 Dy

Tell me which of them is the least stable. Sure, it is <B>.